No. 1
Compound: ZrRe2B2
Source: the Alexandria database
Functional: PBE
Structure: relaxed

The structure in CIF format:
```
data_ZrRe2B2
_chemical_formula_sum 'Zr2 Re4 B4'
_space_group_name_H-M_alt 'P 4/m b m'
_space_group_IT_number 127
_space_group_name_Hall '-P 4 2ab'
_cell_length_a 6.446
_cell_length_b 6.446
_cell_length_c 2.990
_cell_angle_alpha 90.00
_cell_angle_beta 90.00
_cell_angle_gamma 90.00
loop_
_atom_site_label
_atom_site_type_symbol
_atom_site_fract_x
_atom_site_fract_y
_atom_site_fract_z
Zr1 Zr 0.000 0.000 0.000
Re1 Re 0.149 0.351 0.500
B1 B 0.127 0.627 0.000
```

Values from the calculation:
Formation energy: -175 meV per atom
N(E_F): 0.406 states/eV per atom
Theoretical density: 12971 kg/m³
E_tot: -9.535 eV per atom

=====

No. 2
Compound: NdErSiGe
Source: the Alexandria database
Functional: PBE
Structure: relaxed

The structure in CIF format:
```
data_NdErSiGe
_chemical_formula_sum 'Nd2 Er2 Si2 Ge2'
_space_group_name_H-M_alt 'A m m 2'
_space_group_IT_number 38
_cell_length_a 3.945
_cell_length_b 4.364
_cell_length_c 10.793
_cell_angle_alpha 90.00
_cell_angle_beta 90.00
_cell_angle_gamma 90.00
loop_
_space_group_symop_operation_xyz
'x,y,z'
'-x,-y,z'
'-x,y,z'
'x,-y,z'
'x,y+1/2,z+1/2'
'-x,-y+1/2,z+1/2'
'-x,y+1/2,z+1/2'
'x,-y+1/2,z+1/2'
loop_
_atom_site_label
_atom_site_type_symbol
_atom_site_fract_x
_atom_site_fract_y
_atom_site_fract_z
Nd1 Nd 0.000 0.000 0.000
Er1 Er 0.500 0.000 0.278
Si1 Si 0.000 0.000 0.722
Ge1 Ge 0.500 0.000 0.564
```

Values from the calculation:
N(E_F): 0.709 states/eV per atom
Theoretical density: 7368 kg/m³
Formation energy from raw total energies: -76.58 kJ per mole of atoms
E_tot: -5.636 eV per atom

=====

No. 3
Compound: LaCuAg2C
Source: the Alexandria database
Functional: PBE
Structure: relaxed

The structure in CIF format:
```
data_LaCuAg2C
_chemical_formula_sum 'La1 Cu1 Ag2 C1'
_space_group_name_H-M_alt 'P 4/m m m'
_space_group_IT_number 123
_space_group_name_Hall '-P 4 2'
_cell_length_a 4.381
_cell_length_b 4.381
_cell_length_c 5.125
_cell_angle_alpha 90.00
_cell_angle_beta 90.00
_cell_angle_gamma 90.00
loop_
_atom_site_label
_atom_site_type_symbol
_atom_site_fract_x
_atom_site_fract_y
_atom_site_fract_z
La1 La 0.000 0.000 0.000
Cu1 Cu 0.500 0.500 0.000
Ag1 Ag 0.000 0.500 0.500
C1 C 0.000 0.000 0.500
```

Values from the calculation:
Formation energy: 436 meV per atom
N(E_F): 0.401 states/eV per atom
Theoretical density: 7260 kg/m³
E_tot: -4.354 eV per atom

=====

No. 4
Compound: SrFePdW2
Source: the Alexandria database
Functional: PBE
Structure: relaxed

The structure in CIF format:
```
data_SrFePdW2
_chemical_formula_sum 'Sr1 Fe1 Pd1 W2'
_space_group_name_H-M_alt 'P 4/m m m'
_space_group_IT_number 123
_space_group_name_Hall '-P 4 2'
_cell_length_a 4.862
_cell_length_b 4.862
_cell_length_c 4.868
_cell_angle_alpha 90.00
_cell_angle_beta 90.00
_cell_angle_gamma 90.00
loop_
_atom_site_label
_atom_site_type_symbol
_atom_site_fract_x
_atom_site_fract_y
_atom_site_fract_z
Sr1 Sr 0.000 0.000 0.000
Fe1 Fe 0.500 0.500 0.500
Pd1 Pd 0.000 0.000 0.500
W1 W 0.000 0.500 0.000
```

Values from the calculation:
Formation energy: 3255 meV per atom
N(E_F): 1.382 states/eV per atom
Theoretical density: 8910 kg/m³
E_tot: -4.994 eV per atom

=====

No. 5
Compound: Ac8Ge3RhBr4
Source: the Alexandria database
Functional: PBE
Structure: relaxed

The structure in CIF format:
```
data_Ac8Ge3RhBr4
_chemical_formula_sum 'Ac24 Ge9 Rh3 Br12'
_space_group_name_H-M_alt 'R -3 m'
_space_group_IT_number 166
_space_group_name_Hall '-R 3 2"'
_cell_length_a 9.1530
_cell_length_b 9.1530
_cell_length_c 22.8477
_cell_angle_alpha 90.00
_cell_angle_beta 90.00
_cell_angle_gamma 120.00
loop_
_atom_site_label
_atom_site_type_symbol
_atom_site_fract_x
_atom_site_fract_y
_atom_site_fract_z
Ac1 Ac 0.0000 0.0000 0.2407
Ac2 Ac 0.0123 0.5061 0.2369
Ge1 Ge 0.0000 0.5000 0.5000
Rh1 Rh 0.0000 0.0000 0.5000
Br1 Br 0.0000 0.0000 0.0000
Br2 Br 0.0000 0.5000 0.0000
```

Values from the calculation:
N(E_F): 0.775 states/eV per atom
Theoretical density: 7382 kg/m³
Formation energy from raw total energies: -106.35 kJ per mole of atoms
E_tot: -4.900 eV per atom

=====

No. 6
Compound: Hf2GaTc
Source: the Alexandria database
Functional: PBE
Structure: relaxed

The structure in CIF format:
```
data_Hf2GaTc
_chemical_formula_sum 'Hf6 Ga3 Tc3'
_space_group_name_H-M_alt 'R -3 m'
_space_group_IT_number 166
_space_group_name_Hall '-R 3 2"'
_cell_length_a 3.2180
_cell_length_b 3.2180
_cell_length_c 25.5044
_cell_angle_alpha 90.00
_cell_angle_beta 90.00
_cell_angle_gamma 120.00
loop_
_atom_site_label
_atom_site_type_symbol
_atom_site_fract_x
_atom_site_fract_y
_atom_site_fract_z
Hf1 Hf 0.0000 0.0000 0.2447
Ga1 Ga 0.0000 0.0000 0.0000
Tc1 Tc 0.0000 0.0000 0.5000
```

Values from the calculation:
Formation energy: -231 meV per atom
N(E_F): 0.786 states/eV per atom
Theoretical density: 11428 kg/m³
E_tot: -8.555 eV per atom

=====

No. 7
Compound: BaAcSi
Source: the Alexandria database
Functional: PBE
Structure: relaxed

The structure in CIF format:
```
data_BaAcSi
_chemical_formula_sum 'Ba4 Ac4 Si4'
_space_group_name_H-M_alt 'C m c m'
_space_group_IT_number 63
_space_group_name_Hall '-C 2c 2'
_cell_length_a 4.638
_cell_length_b 24.589
_cell_length_c 4.117
_cell_angle_alpha 90.00
_cell_angle_beta 90.00
_cell_angle_gamma 90.00
loop_
_atom_site_label
_atom_site_type_symbol
_atom_site_fract_x
_atom_site_fract_y
_atom_site_fract_z
Ba1 Ba 0.000 0.185 0.250
Ac1 Ac 0.000 0.432 0.250
Si1 Si 0.000 0.030 0.250
```

Values from the calculation:
N(E_F): 1.123 states/eV per atom
Theoretical density: 5552 kg/m³
Formation energy from raw total energies: -31.10 kJ per mole of atoms
E_tot: -4.140 eV per atom
Energy above the lowest structure with this stoichiometry: 0.0 meV/atom

=====

No. 8
Compound: EuThGaHg
Source: the Alexandria database
Functional: PBE
Structure: relaxed

The structure in CIF format:
```
data_EuThGaHg
_chemical_formula_sum 'Eu4 Th4 Ga4 Hg4'
_space_group_name_H-M_alt 'F -4 3 m'
_space_group_IT_number 216
_space_group_name_Hall 'F -4 2 3'
_cell_length_a 7.582
_cell_length_b 7.582
_cell_length_c 7.582
_cell_angle_alpha 90.00
_cell_angle_beta 90.00
_cell_angle_gamma 90.00
loop_
_atom_site_label
_atom_site_type_symbol
_atom_site_fract_x
_atom_site_fract_y
_atom_site_fract_z
Eu1 Eu 0.000 0.000 0.000
Th1 Th 0.000 0.000 0.500
Ga1 Ga 0.250 0.250 0.750
Hg1 Hg 0.250 0.250 0.250
```

Values from the calculation:
Formation energy: -338 meV per atom
N(E_F): 0.951 states/eV per atom
Theoretical density: 9970 kg/m³
E_tot: -5.594 eV per atom

=====

No. 9
Compound: Cu2AsRu
Source: the Alexandria database
Functional: PBE
Structure: relaxed

The structure in CIF format:
```
data_Cu2AsRu
_chemical_formula_sum 'Cu4 As2 Ru2'
_space_group_name_H-M_alt 'C 1 m 1'
_space_group_IT_number 8
_cell_length_a 8.635
_cell_length_b 3.099
_cell_length_c 4.349
_cell_angle_alpha 90.00
_cell_angle_beta 109.32
_cell_angle_gamma 90.00
loop_
_space_group_symop_operation_xyz
'x,y,z'
'x,-y,z'
'x+1/2,y+1/2,z'
'x+1/2,-y+1/2,z'
loop_
_atom_site_label
_atom_site_type_symbol
_atom_site_fract_x
_atom_site_fract_y
_atom_site_fract_z
Cu1 Cu 0.000 0.000 0.000
Cu2 Cu 0.249 0.500 0.144
As1 As 0.489 0.000 0.515
Ru1 Ru 0.221 0.000 0.626
```

Values from the calculation:
Formation energy: 69 meV per atom
N(E_F): 0.715 states/eV per atom
Theoretical density: 9166 kg/m³
E_tot: -5.461 eV per atom